# 1
Below is a geometry-optimized PaPd3Rh structure, with properties calculated at the PBE level.

Cell lengths 8.214, 8.917, 5.503 Å; angles 90.00, 90.00, 90.00 degrees
Space group Cmcm (No. 63)
Symmetry-distinct sites (fractional):
Pa (0.000, 0.227, 0.250) x4
Pd (0.000, 0.500, 0.000) x4
Pd (0.183, 0.295, 0.750) x8
Rh (0.000, 0.034, 0.750) x4

Values from the calculation:
Formation energy from the elements, eV/f.u.: -1.19
Crystal system: orthorhombic
Total magnetization, μB per cell: 0.000

---

# 2
Below is a geometry-optimized PaPd2Rh structure, with properties calculated at the PBE level.

Cell lengths 4.024, 4.024, 4.291 Å; angles 90.00, 90.00, 90.00 degrees
Space group P4/mmm (No. 123)
Symmetry-distinct sites (fractional):
Pa (0.000, 0.000, 0.000) x1
Pd (0.000, 0.500, 0.500) x2
Rh (0.500, 0.500, 0.000) x1

Values from the calculation:
Formation energy from the elements, eV/f.u.: -3.55
Crystal system: tetragonal
Total magnetization, μB per cell: 0.000
Energy above the lowest structure with this stoichiometry, meV per atom: 0

---

# 3
Below is a geometry-optimized Pa2PdRh5 structure, with properties calculated at the PBE level.

Cell lengths 5.732, 11.449, 4.109 Å; angles 90.00, 90.00, 90.00 degrees
Space group Pbam (No. 55)
Symmetry-distinct sites (fractional):
Pa (0.238, 0.128, 0.000) x4
Pd (0.000, 0.500, 0.500) x2
Rh (0.000, 0.000, 0.500) x2
Rh (0.009, 0.749, 0.500) x4
Rh (0.244, 0.375, 0.000) x4

Values from the calculation:
Formation energy from the elements, eV/f.u.: -7.17
Crystal system: orthorhombic
Total magnetization, μB per cell: 0.000

---

# 4
Below is a geometry-optimized PaPd5Rh structure, with properties calculated at the PBE level.

Cell lengths 11.316, 7.823, 5.477 Å; angles 90.00, 99.87, 90.00 degrees
Space group C2/c (No. 15)
Symmetry-distinct sites (fractional):
Pa (0.000, 0.235, 0.250) x4
Pd (0.000, 0.142, 0.750) x4
Pd (0.109, 0.456, 0.658) x8
Pd (0.187, 0.088, 0.520) x8
Rh (0.250, 0.250, 0.000) x4

Values from the calculation:
Formation energy from the elements, eV/f.u.: -2.60
Crystal system: monoclinic
Total magnetization, μB per cell: 0.000

---

# 5
Below is a geometry-optimized PaPd2Rh structure, with properties calculated at the PBE level.

Cell lengths 3.999, 3.999, 8.754 Å; angles 90.00, 90.00, 90.00 degrees
Space group I4/mmm (No. 139)
Symmetry-distinct sites (fractional):
Pa (0.000, 0.000, 0.000) x2
Pd (0.000, 0.500, 0.250) x4
Rh (0.000, 0.000, 0.500) x2

Values from the calculation:
Formation energy from the elements, eV/f.u.: -3.23
Crystal system: tetragonal
Total magnetization, μB per cell: 0.000
Energy above the lowest structure with this stoichiometry, meV per atom: 80

---

# 6
Below is a geometry-optimized PaPdRh structure, with properties calculated at the PBE level.

Cell lengths 3.824, 4.093, 8.145 Å; angles 90.00, 90.00, 90.00 degrees
Space group Pmmn (No. 59, origin choice 2)
Symmetry-distinct sites (fractional):
Pa (0.250, 0.250, 0.237) x2
Pd (0.250, 0.750, 0.498) x2
Rh (0.250, 0.750, 0.997) x2

Values from the calculation:
Formation energy from the elements, eV/f.u.: -1.46
Crystal system: orthorhombic
Total magnetization, μB per cell: 0.000
Energy above the lowest structure with this stoichiometry, meV per atom: 146

---

# 7
Below is a geometry-optimized PaPdRh structure, with properties calculated at the PBE level.

Cell lengths 6.465, 6.465, 6.465 Å; angles 90.00, 90.00, 90.00 degrees
Space group F-43m (No. 216)
Symmetry-distinct sites (fractional):
Pa (0.000, 0.000, 0.000) x4
Pd (0.250, 0.250, 0.750) x4
Rh (0.250, 0.250, 0.250) x4

Values from the calculation:
Formation energy from the elements, eV/f.u.: -0.75
Crystal system: cubic
Total magnetization, μB per cell: 0.000
Energy above the lowest structure with this stoichiometry, meV per atom: 383

---

# 8
Below is a geometry-optimized Pa2PdRh structure, with properties calculated at the PBE level.

Cell lengths 3.518, 3.518, 6.775 Å; angles 90.00, 90.00, 90.00 degrees
Space group P4/mmm (No. 123)
Symmetry-distinct sites (fractional):
Pa (0.000, 0.000, 0.233) x2
Pd (0.500, 0.500, 0.500) x1
Rh (0.500, 0.500, 0.000) x1

Values from the calculation:
Formation energy from the elements, eV/f.u.: -1.85
Crystal system: tetragonal
Total magnetization, μB per cell: 0.000
Energy above the lowest structure with this stoichiometry, meV per atom: 0

---

# 9
Below is a geometry-optimized PaPdRh2 structure, with properties calculated at the PBE level.

Cell lengths 4.153, 4.153, 3.940 Å; angles 90.00, 90.00, 90.00 degrees
Space group P4/mmm (No. 123)
Symmetry-distinct sites (fractional):
Pa (0.000, 0.000, 0.000) x1
Pd (0.500, 0.500, 0.000) x1
Rh (0.000, 0.500, 0.500) x2

Values from the calculation:
Formation energy from the elements, eV/f.u.: -3.60
Crystal system: tetragonal
Total magnetization, μB per cell: 0.000
Energy above the lowest structure with this stoichiometry, meV per atom: 0

---

# 10
Below is a geometry-optimized PaPdRuRh structure, with properties calculated at the PBE level.

Cell lengths 3.922, 4.113, 4.200 Å; angles 90.00, 90.00, 90.00 degrees
Space group Pmmm (No. 47)
Symmetry-distinct sites (fractional):
Pa (0.000, 0.000, 0.000) x1
Pd (0.000, 0.500, 0.500) x1
Ru (0.500, 0.500, 0.000) x1
Rh (0.500, 0.000, 0.500) x1

Values from the calculation:
Formation energy from the elements, eV/f.u.: -2.76
Crystal system: orthorhombic
Total magnetization, μB per cell: 0.000

---

# 11
Below is a geometry-optimized PaPdRh4S8 structure, with properties calculated at the PBE level.

Cell lengths 7.2319, 7.2319, 17.3708 Å; angles 90.00, 90.00, 120.00 degrees
Space group R3m (No. 160, hexagonal axes)
Symmetry-distinct sites (fractional):
Pa (0.0000, 0.0000, 0.0000) x3
Pd (0.0000, 0.0000, 0.3686) x3
Rh (0.0000, 0.0000, 0.6280) x3
Rh (0.9998, 0.4999, 0.5005) x9
S (0.0000, 0.0000, 0.2358) x3
S (0.0000, 0.0000, 0.7609) x3
S (0.0071, 0.5035, 0.7626) x9
S (0.1673, 0.3345, 0.5714) x9

Values from the calculation:
VASP energy, eV per cell: -258.639
Crystal system: trigonal
Total magnetization, μB per cell: 2.756

---

# 12
Below is a geometry-optimized PaSbPdRh structure, with properties calculated at the PBE level.

Cell lengths 6.827, 6.827, 6.827 Å; angles 90.00, 90.00, 90.00 degrees
Space group F-43m (No. 216)
Symmetry-distinct sites (fractional):
Pa (0.000, 0.000, 0.000) x4
Sb (0.000, 0.000, 0.500) x4
Pd (0.250, 0.250, 0.250) x4
Rh (0.250, 0.250, 0.750) x4

Values from the calculation:
VASP energy, eV per cell: -114.120
Crystal system: cubic
Total magnetization, μB per cell: 0.860

---

# 13
Below is a geometry-optimized ScPaPdRh structure, with properties calculated at the PBE level.

Cell lengths 6.798, 6.798, 6.798 Å; angles 90.00, 90.00, 90.00 degrees
Space group F-43m (No. 216)
Symmetry-distinct sites (fractional):
Sc (0.000, 0.000, 0.000) x4
Pa (0.000, 0.000, 0.500) x4
Pd (0.250, 0.250, 0.250) x4
Rh (0.250, 0.250, 0.750) x4

Values from the calculation:
Formation energy from the elements, eV/f.u.: -2.54
Crystal system: cubic
Total magnetization, μB per cell: 0.010

---

# 14
Below is a geometry-optimized Pa2SnPdRh5 structure, with properties calculated at the PBE level.

Cell lengths 8.070, 8.070, 10.766 Å; angles 90.00, 90.00, 90.00 degrees
Space group I4/mcm (No. 140)
Symmetry-distinct sites (fractional):
Pa (0.132, 0.368, 0.000) x8
Sn (0.000, 0.000, 0.250) x4
Pd (0.000, 0.500, 0.250) x4
Rh (0.000, 0.000, 0.000) x4
Rh (0.202, 0.298, 0.365) x16

Values from the calculation:
Formation energy from the elements, eV/f.u.: -2.77
Crystal system: tetragonal
Total magnetization, μB per cell: 0.000

---

# 15
Below is a geometry-optimized PaSnPdRh structure, with properties calculated at the PBE level.

Cell lengths 8.219, 4.756, 5.049 Å; angles 90.00, 122.80, 90.00 degrees
Space group Cm (No. 8)
Symmetry-distinct sites (fractional):
Pa (0.000, 0.000, 0.000) x2
Sn (0.030, 0.500, 0.591) x2
Pd (0.260, 0.500, 0.282) x2
Rh (0.192, 0.000, 0.577) x2

Values from the calculation:
Formation energy from the elements, eV/f.u.: -2.61
Crystal system: monoclinic
Total magnetization, μB per cell: 0.000

---

# 16
Below is a geometry-optimized TbPaPdRh structure, with properties calculated at the PBE level.

Cell lengths 6.964, 6.964, 6.964 Å; angles 90.00, 90.00, 90.00 degrees
Space group F-43m (No. 216)
Symmetry-distinct sites (fractional):
Tb (0.000, 0.000, 0.000) x4
Pa (0.000, 0.000, 0.500) x4
Pd (0.250, 0.250, 0.750) x4
Rh (0.250, 0.250, 0.250) x4

Values from the calculation:
Formation energy from the elements, eV/f.u.: -2.41
Crystal system: cubic
Total magnetization, μB per cell: 1.031

---

# 17
Below is a geometry-optimized UPaPdRh structure, with properties calculated at the PBE level.

Cell lengths 6.659, 6.659, 6.659 Å; angles 90.00, 90.00, 90.00 degrees
Space group F-43m (No. 216)
Symmetry-distinct sites (fractional):
U (0.000, 0.000, 0.000) x4
Pa (0.250, 0.250, 0.750) x4
Pd (0.250, 0.250, 0.250) x4
Rh (0.000, 0.000, 0.500) x4

Values from the calculation:
Formation energy from the elements, eV/f.u.: -2.24
Crystal system: cubic
Total magnetization, μB per cell: 8.438

---

# 18
Below is a geometry-optimized YPaPdRh structure, with properties calculated at the PBE level.

Cell lengths 6.966, 6.966, 6.966 Å; angles 90.00, 90.00, 90.00 degrees
Space group F-43m (No. 216)
Symmetry-distinct sites (fractional):
Y (0.000, 0.000, 0.000) x4
Pa (0.000, 0.000, 0.500) x4
Pd (0.250, 0.250, 0.250) x4
Rh (0.250, 0.250, 0.750) x4

Values from the calculation:
Formation energy from the elements, eV/f.u.: -2.39
Crystal system: cubic
Total magnetization, μB per cell: 1.445

---

# 19
Below is a geometry-optimized PaZnPdRh structure, with properties calculated at the PBE level.

Cell lengths 6.637, 6.637, 6.637 Å; angles 90.00, 90.00, 90.00 degrees
Space group F-43m (No. 216)
Symmetry-distinct sites (fractional):
Pa (0.000, 0.000, 0.000) x4
Zn (0.000, 0.000, 0.500) x4
Pd (0.250, 0.250, 0.750) x4
Rh (0.250, 0.250, 0.250) x4

Values from the calculation:
Formation energy from the elements, eV/f.u.: -2.15
Crystal system: cubic
Total magnetization, μB per cell: 0.001

---

# 20
Below is a geometry-optimized PaPdRu structure, with properties calculated at the PBE level.

Cell lengths 4.4854, 4.4854, 3.3348 Å; angles 90.00, 90.00, 120.00 degrees
Space group P-6m2 (No. 187)
Symmetry-distinct sites (fractional):
Pa (0.0000, 0.0000, 0.0000) x1
Pd (0.3333, 0.6667, 0.5000) x1
Ru (0.6667, 0.3333, 0.5000) x1

Values from the calculation:
Formation energy from the elements, eV/f.u.: -0.54
Crystal system: hexagonal
Total magnetization, μB per cell: 0.003
Energy above the lowest structure with this stoichiometry, meV per atom: 373

---

# 21
Below is a geometry-optimized Pa2PdRu structure, with properties calculated at the PBE level.

Cell lengths 4.447, 4.447, 4.078 Å; angles 90.00, 90.00, 90.00 degrees
Space group P4/mmm (No. 123)
Symmetry-distinct sites (fractional):
Pa (0.000, 0.500, 0.000) x2
Pd (0.000, 0.000, 0.500) x1
Ru (0.500, 0.500, 0.500) x1

Values from the calculation:
Formation energy from the elements, eV/f.u.: -1.22
Crystal system: tetragonal
Total magnetization, μB per cell: 0.000

---

# 22
Below is a geometry-optimized PaPdRu structure, with properties calculated at the PBE level.

Cell lengths 4.969, 5.087, 5.090 Å; angles 92.15, 94.49, 114.15 degrees
Space group P-1 (No. 2)
Symmetry-distinct sites (fractional):
Pa (0.000, 0.000, 0.000) x1
Pa (0.000, 0.500, 0.500) x1
Pd (0.346, 0.177, 0.532) x2
Ru (0.290, 0.704, 0.941) x2

Values from the calculation:
Formation energy from the elements, eV/f.u.: -1.48
Crystal system: triclinic
Total magnetization, μB per cell: 0.000
Energy above the lowest structure with this stoichiometry, meV per atom: 61

---

# 23
Below is a geometry-optimized PaPd2Ru structure, with properties calculated at the PBE level.

Cell lengths 3.990, 3.990, 4.335 Å; angles 90.00, 90.00, 90.00 degrees
Space group P4/mmm (No. 123)
Symmetry-distinct sites (fractional):
Pa (0.000, 0.000, 0.000) x1
Pd (0.000, 0.500, 0.500) x2
Ru (0.500, 0.500, 0.000) x1

Values from the calculation:
Formation energy from the elements, eV/f.u.: -2.85
Crystal system: tetragonal
Total magnetization, μB per cell: 0.000
Energy above the lowest structure with this stoichiometry, meV per atom: 0

---

# 24
Below is a geometry-optimized PaPdRu structure, with properties calculated at the PBE level.

Cell lengths 4.8106, 4.8106, 5.5284 Å; angles 90.00, 90.00, 120.00 degrees
Space group P6_3/mmc (No. 194)
Symmetry-distinct sites (fractional):
Pa (0.3333, 0.6667, 0.2500) x2
Pd (0.0000, 0.0000, 0.0000) x2
Ru (0.3333, 0.6667, 0.7500) x2

Values from the calculation:
Formation energy from the elements, eV/f.u.: -1.66
Crystal system: hexagonal
Total magnetization, μB per cell: 0.000
Energy above the lowest structure with this stoichiometry, meV per atom: 0

---

# 25
Below is a geometry-optimized Pa2PdRu structure, with properties calculated at the PBE level.

Cell lengths 3.1111, 3.1111, 29.6825 Å; angles 90.00, 90.00, 120.00 degrees
Space group R-3m (No. 166, hexagonal axes)
Symmetry-distinct sites (fractional):
Pa (0.0000, 0.0000, 0.0906) x6
Pd (0.0000, 0.0000, 0.0000) x3
Ru (0.0000, 0.0000, 0.5000) x3

Values from the calculation:
Formation energy from the elements, eV/f.u.: -0.15
Crystal system: trigonal
Total magnetization, μB per cell: 0.000

---

# 26
Below is a geometry-optimized Pa2PdRu structure, with properties calculated at the PBE level.

Cell lengths 3.415, 3.415, 7.128 Å; angles 90.00, 90.00, 90.00 degrees
Space group P4/mmm (No. 123)
Symmetry-distinct sites (fractional):
Pa (0.000, 0.000, 0.233) x2
Pd (0.500, 0.500, 0.500) x1
Ru (0.500, 0.500, 0.000) x1

Values from the calculation:
Formation energy from the elements, eV/f.u.: -1.47
Crystal system: tetragonal
Total magnetization, μB per cell: 0.004

---

# 27
Below is a geometry-optimized PaPd2Ru structure, with properties calculated at the PBE level.

Cell lengths 6.593, 6.593, 6.593 Å; angles 90.00, 90.00, 90.00 degrees
Space group Fm-3m (No. 225)
Symmetry-distinct sites (fractional):
Pa (0.000, 0.000, 0.000) x4
Pd (0.250, 0.250, 0.250) x8
Ru (0.000, 0.000, 0.500) x4

Values from the calculation:
Formation energy from the elements, eV/f.u.: -1.04
Crystal system: cubic
Total magnetization, μB per cell: 0.000
Energy above the lowest structure with this stoichiometry, meV per atom: 452